## Pr6GaP2I3 (PBE)

Data for a relaxed Pr6GaP2I3 crystal.

Cell: 4.283 9.244 10.210 Å, 108.42 102.11 90.00°
Sites, in units of the cell vectors:
Ga 0.500 0.000 0.000
Pr 0.343 0.881 0.686
I 0.166 0.832 0.331
I 0.500 0.500 0.000
Pr 0.680 0.551 0.361
Pr 0.986 0.770 0.971
Pr 0.320 0.449 0.639
P 0.168 0.335 0.336
Pr 0.014 0.230 0.029
Pr 0.657 0.119 0.314
I 0.834 0.168 0.669
P 0.832 0.665 0.664

Properties
**Uncorrected energy**: -5.1047 eV/atom
**D(E_F)**: 6.188 states/eV per cell

***

## Pr4GaPI2 (PBE)

Data for a relaxed Pr4GaPI2 crystal.

Cell: 4.332 7.468 8.192 Å, 107.99 90.00 90.00°
Sites, in units of the cell vectors:
Pr 0.500 0.761 0.798
Ga 0.000 0.000 0.000
Pr 0.000 0.274 0.805
P 0.500 0.500 0.000
I 0.000 0.500 0.500
Pr 0.500 0.239 0.202
Pr 0.000 0.726 0.195
I 0.500 0.000 0.500

Properties
**Uncorrected energy**: -4.9070 eV/atom
**D(E_F)**: 4.757 states/eV per cell

***

## GaPRh2I (PBE)

Data for a relaxed GaPRh2I crystal.

Cell: 4.869 5.316 4.869 Å, 90.00 90.00 90.00°
Sites, in units of the cell vectors:
P 0.500 0.500 0.500
I 0.000 0.000 0.000
Ga 0.000 0.500 0.000
Rh 0.500 0.000 0.000
Rh 0.000 0.000 0.500

Properties
**Uncorrected energy**: -3.5376 eV/atom
**D(E_F)**: 5.815 states/eV per cell

***

## GaP2SeI (PBE)

Data for a relaxed GaP2SeI crystal.

Cell: 5.220 5.485 5.220 Å, 90.00 90.00 90.00°
Site moments in Bohr magnetons follow the coordinates.
Sites, in units of the cell vectors:
I 0.000 0.000 0.000  0.01
Ga 0.500 0.500 0.500  0.01
P 0.500 0.000 0.000  0.22
Se 0.000 0.500 0.000  0.09
P 0.000 0.000 0.500  0.28

Properties
**Uncorrected energy**: -2.5705 eV/atom
**D(E_F)**: 4.847 states/eV per cell

***

## GaSn2PI (PBE)

Data for a relaxed GaSn2PI crystal.

Cell: 5.399 5.393 5.399 Å, 90.00 90.00 90.00°
Site moments in Bohr magnetons follow the coordinates.
Sites, in units of the cell vectors:
Sn 0.000 0.000 0.500  -0.02
I 0.000 0.500 0.000  0.09
Sn 0.500 0.000 0.000  -0.02
Ga 0.000 0.000 0.000  0.00
P 0.500 0.500 0.500  0.33

Properties
**Uncorrected energy**: -2.8610 eV/atom
**D(E_F)**: 3.483 states/eV per cell

***

## SrGaPI2 (PBE)

Data for a relaxed SrGaPI2 crystal.

Cell: 6.354 6.675 6.354 Å, 90.00 90.00 90.00°
Site moments in Bohr magnetons follow the coordinates.
Sites, in units of the cell vectors:
Ga 0.000 0.500 0.000  -0.02
P 0.500 0.500 0.500  1.15
I 0.500 0.000 0.000  0.03
Sr 0.000 0.000 0.000  -0.01
I 0.000 0.000 0.500  0.04

Properties
**Uncorrected energy**: -2.4463 eV/atom
**D(E_F)**: 2.058 states/eV per cell

***

## GaTePI2 (PBE)

Data for a relaxed GaTePI2 crystal.

Cell: 5.560 5.560 5.671 Å, 90.00 90.00 90.00°
Site moments in Bohr magnetons follow the coordinates.
Sites, in units of the cell vectors:
Ga 0.000 0.000 0.000  0.01
Te 0.000 0.000 0.500  -0.37
I 0.000 0.500 0.000  -0.01
P 0.500 0.500 0.500  0.96
I 0.500 0.000 0.000  -0.01

Properties
**Uncorrected energy**: -2.2569 eV/atom
**Relative energy among the computed polymorphs**: 466 meV per atom
**D(E_F)**: 2.874 states/eV per cell

***

## GaTePI2 (PBE)

Data for a relaxed GaTePI2 crystal.

Cell: 5.537 5.537 5.417 Å, 90.00 90.00 90.00°
Sites, in units of the cell vectors:
I 0.500 0.000 0.000
Te 0.000 0.000 0.500
I 0.000 0.500 0.000
Ga 0.500 0.500 0.500
P 0.000 0.000 0.000

Properties
**Uncorrected energy**: -2.7226 eV/atom
**Relative energy among the computed polymorphs**: 0 meV per atom
**D(E_F)**: 3.116 states/eV per cell